w) {"formula": "LiMg2Cu2", "functional": "meta-GGA SCAN", "state": "PBEsol geometry", "spacegroup": "P4/mbm, No. 127", "magnetic_moment_mub_per_cell": 0.000, "lattice_angstrom": [[-0.144, -2.328, -2.037], [7.187, -0.785, 0.387], [-0.807, -4.710, 5.438]], "species": ["Cu", "Cu", "Cu", "Cu", "Mg", "Mg", "Mg", "Mg", "Li", "Li"], "fractional_positions": [[0.000, 0.622, 0.122], [0.000, 0.122, 0.378], [0.000, 0.378, 0.878], [0.000, 0.878, 0.622], [0.500, 0.829, 0.329], [0.500, 0.671, 0.829], [0.500, 0.171, 0.671], [0.500, 0.329, 0.171], [0.000, 0.500, 0.500], [0.000, 0.000, 0.000]]}


x) {"formula": "LiMg2Cu2", "functional": "meta-GGA SCAN", "state": "PBEsol geometry", "spacegroup": "I4/mmm, No. 139", "magnetic_moment_mub_per_cell": 0.000, "lattice_angstrom": [[-3.932, 0.202, 1.152], [-1.161, -1.175, -3.755], [2.741, -4.771, 2.886]], "species": ["Mg", "Mg", "Li", "Cu", "Cu"], "fractional_positions": [[0.750, 0.250, 0.500], [0.250, 0.750, 0.500], [0.000, 0.000, 0.000], [0.397, 0.397, 0.793], [0.603, 0.603, 0.207]]}


The structure with the greatest stability is w).


w) {"formula": "LiMnCu2", "functional": "meta-GGA SCAN", "state": "PBEsol geometry", "spacegroup": "F-43m, No. 216", "magnetic_moment_mub_per_cell": 4.051, "lattice_angstrom": [[-1.680, 1.042, 3.559], [2.067, -0.548, 3.464], [1.416, 3.216, 2.055]], "species": ["Cu", "Cu", "Mn", "Li"], "fractional_positions": [[0.000, 0.000, 0.000], [0.250, 0.250, 0.250], [0.750, 0.750, 0.750], [0.500, 0.500, 0.500]]}


x) {"formula": "LiMnCu2", "functional": "meta-GGA SCAN", "state": "PBEsol geometry", "spacegroup": "I-4m2, No. 119", "magnetic_moment_mub_per_cell": 4.080, "lattice_angstrom": [[3.621, 0.000, 0.000], [0.000, 3.621, 0.000], [-1.811, -1.811, 3.675]], "species": ["Cu", "Cu", "Li", "Mn"], "fractional_positions": [[0.000, 0.000, 0.000], [0.750, 0.250, 0.500], [0.500, 0.500, 0.000], [0.250, 0.750, 0.500]]}


The structure with the greatest stability is x).